# 1
## TePtNO2 (GGA-PBE)

Data for a relaxed structure of TePtNO2.

extended XYZ file:
```
5
Lattice="4.083 0.000 0.000 0.000 4.083 0.000 0.000 0.000 3.933" Properties=species:S:1:pos:R:3 pbc="T T T"
Te 0.000 0.000 0.000
Pt 2.042 2.042 1.966
N 2.042 2.042 0.000
O 0.000 2.042 1.966
O 2.042 0.000 1.966
```

Summary:
Space group ... P4/mmm
DFT total energy ... -4.905 eV per atom



# 2
## Te2PtNO (GGA-PBE)

Data for a relaxed structure of Te2PtNO.

extended XYZ file:
```
5
Lattice="4.706 0.000 0.000 0.000 4.706 0.000 0.000 0.000 3.839" Properties=species:S:1:pos:R:3 pbc="T T T"
Te 0.000 2.353 0.000
Te 2.353 0.000 0.000
Pt 0.000 0.000 1.919
N 2.353 2.353 1.919
O 2.353 2.353 0.000
```

Summary:
Space group ... P4/mmm
Energy above the lowest structure with this stoichiometry ... 164.8 meV per atom



no.,DOS(E_F) (states/eV per atom)
1,0.45
2,0.66